[1]
The following is a DFT calculation (PBE) of a relaxed structure of DyCd9Ni3.

**Formation enthalpy at 0 K**: -0.07 eV per atom
**Electronic total energy**: -2.39 eV per atom
**V**: 252.6 Å³/f.u.

a = 5.4860 Å, b = 13.7239 Å, c = 7.2252 Å
α = 90.00°, β = 111.77°, γ = 90.00°
Space group C2/m (No. 12)
Symmetry-distinct sites (fractional):
1 Dy 0.0000 0.0000 0.0000 [2 per cell]
2 Cd 0.0000 0.0000 0.5000 [2 per cell]
3 Cd 0.0934 0.3889 0.2115 [8 per cell]
4 Cd 0.1658 0.1743 0.3258 [8 per cell]
5 Ni 0.0000 0.5000 0.5000 [2 per cell]
6 Ni 0.2500 0.2500 0.0000 [4 per cell]


[2]
The following is a DFT calculation (PBE) of a relaxed structure of Dy5Cd4Ni.

**Formation enthalpy at 0 K**: -0.32 eV per atom
**Electronic total energy**: -3.57 eV per atom
**V**: 247.8 Å³/f.u.

a = 3.5967 Å, b = 3.5967 Å, c = 19.1558 Å
α = 90.00°, β = 90.00°, γ = 90.00°
Space group P4/mmm (No. 123)
Symmetry-distinct sites (fractional):
1 Dy 0.0000 0.0000 0.0000 [1 per cell]
2 Dy 0.0000 0.0000 0.2074 [2 per cell]
3 Dy 0.0000 0.0000 0.4172 [2 per cell]
4 Cd 0.5000 0.5000 0.1033 [2 per cell]
5 Cd 0.5000 0.5000 0.3097 [2 per cell]
6 Ni 0.5000 0.5000 0.5000 [1 per cell]


[3]
The following is a DFT calculation (PBE) of a relaxed structure of Dy4CdNi.

**Formation enthalpy at 0 K**: -0.30 eV per atom
**Electronic total energy**: -4.48 eV per atom
**V**: 153.8 Å³/f.u.
**E above lowest polymorph**: 0.0000 eV per atom

a = 13.5004 Å, b = 13.5004 Å, c = 13.5004 Å
α = 90.00°, β = 90.00°, γ = 90.00°
Space group F-43m (No. 216)
Symmetry-distinct sites (fractional):
1 Dy 0.0000 0.0000 0.1861 [24 per cell]
2 Dy 0.0609 0.2500 0.2500 [24 per cell]
3 Dy 0.0984 0.0984 0.5984 [16 per cell]
4 Cd 0.1688 0.1688 0.8312 [16 per cell]
5 Ni 0.1075 0.1075 0.3925 [16 per cell]


[4]
The following is a DFT calculation (PBE) of a relaxed structure of Dy3CdNi.

**Formation enthalpy at 0 K**: -0.11 eV per atom
**Electronic total energy**: -4.21 eV per atom
**V**: 141.4 Å³/f.u.
**E above lowest polymorph**: 0.1567 eV per atom

a = 5.2097 Å, b = 5.2097 Å, c = 5.2097 Å
α = 90.00°, β = 90.00°, γ = 90.00°
Space group Pm-3m (No. 221)
Symmetry-distinct sites (fractional):
1 Dy 0.0000 0.0000 0.5000 [3 per cell]
2 Cd 0.5000 0.5000 0.5000 [1 per cell]
3 Ni 0.0000 0.0000 0.0000 [1 per cell]